# 1
The following is a GGA-PBEsol calculation of a relaxed structure of NaGdH2S2O9, from Alexandria via LeMat-Bulk.

## Properties
As for the total moment: 6.97 μB/f.u. The energy is -320.5 eV for the cell shown.

Cell lengths 6.8623, 6.8623, 12.7365 Å; angles 90.00, 90.00, 120.00 degrees
Space group P3_221 (No. 154)
Unique sites:
Na 0.0000 0.4722 0.3333 (multiplicity 3)
Gd 0.0000 0.4343 0.8333 (multiplicity 3)
H 0.0484 0.0984 0.1255 (multiplicity 6)
S 0.0137 0.4553 0.5924 (multiplicity 6)
O 0.0000 0.0848 0.8333 (multiplicity 3)
O 0.1255 0.6208 0.1500 (multiplicity 6)
O 0.1283 0.3847 0.0062 (multiplicity 6)
O 0.1340 0.6467 0.6663 (multiplicity 6)
O 0.1716 0.4113 0.5316 (multiplicity 6)

# 2
The following is a GGA-PBEsol calculation of a relaxed structure of GdHSe, from Alexandria via LeMat-Bulk.

## Properties
As for the total moment: 7.00 μB/f.u. The energy is -26.1 eV for the cell shown.

Cell lengths 3.8211, 3.8211, 3.8665 Å; angles 90.00, 90.00, 120.00 degrees
Space group P-6m2 (No. 187)
Unique sites:
Gd 0.0000 0.0000 0.0000 (multiplicity 1)
H 0.3333 0.6667 0.0000 (multiplicity 1)
Se 0.6667 0.3333 0.5000 (multiplicity 1)

# 3
The following is a GGA-PBEsol calculation of a relaxed structure of GdYH4, from Alexandria via LeMat-Bulk.

## Properties
As for the total moment: 7.08 μB/f.u. The energy is -38.9 eV for the cell shown.

Cell lengths 3.6472, 3.6472, 5.1908 Å; angles 90.00, 90.00, 90.00 degrees
Space group P4/mmm (No. 123)
Unique sites:
Gd 0.0000 0.0000 0.0000 (multiplicity 1)
Y 0.5000 0.5000 0.5000 (multiplicity 1)
H 0.0000 0.5000 0.2541 (multiplicity 4)

# 4
The following is a GGA-PBEsol calculation of a relaxed structure of Gd2Hf2O7, from Alexandria via LeMat-Bulk.

## Properties
As for the total moment: 13.97 μB/f.u. The energy is -1008.8 eV for the cell shown. The uncorrected formation energy is -3586 meV per atom.

Cell lengths 10.4640, 10.4640, 10.4640 Å; angles 90.00, 90.00, 90.00 degrees
Space group Fd-3m (No. 227, origin choice 2)
Unique sites:
Gd 0.0000 0.0000 0.0000 (multiplicity 16)
Hf 0.0000 0.0000 0.5000 (multiplicity 16)
O 0.0866 0.3750 0.8750 (multiplicity 48)
O 0.1250 0.1250 0.1250 (multiplicity 8)

# 5
The following is a GGA-PBEsol calculation of a relaxed structure of Gd2HfS5, from Alexandria via LeMat-Bulk.

## Properties
As for the total moment: 14.00 μB/f.u. The energy is -308.6 eV for the cell shown. The uncorrected formation energy is -1980 meV per atom.

Cell lengths 11.3020, 7.7450, 7.1705 Å; angles 90.00, 90.00, 90.00 degrees
Space group Pnma (No. 62)
Unique sites:
Gd 0.1771 0.0018 0.0321 (multiplicity 8)
Hf 0.0078 0.7500 0.5763 (multiplicity 4)
S 0.0040 0.7500 0.9477 (multiplicity 4)
S 0.0881 0.0385 0.6665 (multiplicity 8)
S 0.1840 0.7500 0.3390 (multiplicity 4)
S 0.2088 0.2500 0.3174 (multiplicity 4)

# 6
The following is a GGA-PBEsol calculation of a relaxed structure of GdHg3, from Alexandria via LeMat-Bulk.

## Properties
As for the total moment: 7.18 μB/f.u. The formation energy is -0.473 eV per atom. The energy is -36.1 eV for the cell shown.

Cell lengths 6.5559, 6.5559, 4.9075 Å; angles 90.00, 90.00, 120.00 degrees
Space group P6_3/mmc (No. 194)
Unique sites:
Gd 0.3333 0.6667 0.2500 (multiplicity 2)
Hg 0.1643 0.3286 0.7500 (multiplicity 6)